[1]
This record from Alexandria describes a relaxed CsTmBeTe3 crystal. The functional is PBE.

Lattice parameters (Å, degrees): 10.8190 10.8190 9.5030 100.32 100.32 22.78
Last column: nearest neighbours and their distance in Å.
Fractional positions:
1 Cs 0.1383 0.1383 0.4534  7 Te 3.78-4.06
2 Cs 0.8617 0.8617 0.5466  7 Te 3.78-4.06
3 Tm 0.1617 0.1617 0.9501  6 Te 3.01-3.09
4 Tm 0.8383 0.8383 0.0499  6 Te 3.01-3.09
5 Be 0.4795 0.4795 0.1279  4 Te 2.51-2.53, 1 Be 2.73
6 Be 0.5205 0.5205 0.8721  4 Te 2.51-2.53, 1 Be 2.73
7 Te 0.0366 0.0366 0.7410  2 Be 2.53
8 Te 0.2751 0.2751 0.2048  3 Tm 3.04-3.09
9 Te 0.4034 0.4034 0.8923  2 Be 2.51-2.53
10 Te 0.5966 0.5966 0.1077  2 Be 2.51-2.53
11 Te 0.7249 0.7249 0.7952  3 Tm 3.04-3.09
12 Te 0.9634 0.9634 0.2590  2 Be 2.53

Values from the calculation:
SG: C2/m (12)
Total magnetization, Bohr magnetons per cell: 0.00
Energy relative to the elements, uncorrected, eV per formula unit: -5.948

[2]
This record from Alexandria describes a relaxed Ac8HRh3I4 crystal. The functional is PBE.

Lattice parameters (Å, degrees): 8.6731 8.6731 10.0179 115.60 115.60 60.11
Last column: nearest neighbours and their distance in Å.
Fractional positions:
1 Ac 0.2257 0.7293 0.6849  2 Rh 2.96-2.97, 1 H 2.99
2 Ac 0.2279 0.2279 0.6840  3 Rh 2.97
3 Ac 0.2707 0.7743 0.3151  2 Rh 2.96-2.97, 1 H 2.99
4 Ac 0.2722 0.2722 0.3160  1 H 2.97, 2 Rh 2.97
5 Ac 0.7278 0.7278 0.6840  1 H 2.97, 2 Rh 2.97
6 Ac 0.7293 0.2257 0.6849  2 Rh 2.96-2.97, 1 H 2.99
7 Ac 0.7721 0.7721 0.3160  3 Rh 2.97
8 Ac 0.7743 0.2707 0.3151  2 Rh 2.96-2.97, 1 H 2.99
9 H 0.5000 0.5000 0.5000  6 Ac 2.97-2.99
10 Rh 0.0000 0.0000 0.5000  6 Ac 2.97
11 Rh 0.0000 0.5000 0.5000  6 Ac 2.96-2.97
12 Rh 0.5000 0.0000 0.5000  6 Ac 2.96-2.97
13 I 0.0000 0.0000 0.0000  6 Ac 3.70-3.72
14 I 0.0000 0.5000 0.0000  6 Ac 3.71-3.72
15 I 0.5000 0.0000 0.0000  6 Ac 3.71-3.72
16 I 0.5000 0.5000 0.0000  6 Ac 3.71

Values from the calculation:
SG: C2/m (12)
Total magnetization, Bohr magnetons per cell: 0.00

[3]
This record from Alexandria describes a relaxed SrZn3Ag2 crystal. The functional is PBE.

Lattice parameters (Å, degrees): 8.5614 8.5614 7.9813 115.96 115.96 29.88
Last column: nearest neighbours and their distance in Å.
Fractional positions:
1 Sr 0.1485 0.1485 0.0766  4 Zn 3.33-3.59, 7 Ag 3.41-3.60
2 Sr 0.8515 0.8515 0.9234  4 Zn 3.33-3.59, 7 Ag 3.41-3.60
3 Zn 0.0185 0.0185 0.3612  3 Zn 2.55-2.83, 3 Ag 2.62-2.72
4 Zn 0.3079 0.3079 0.5368  4 Ag 2.66-2.76, 3 Zn 2.71-2.81
5 Zn 0.4092 0.4092 0.3484  3 Ag 2.67-2.69, 4 Zn 2.71-2.88
6 Zn 0.5908 0.5908 0.6516  3 Ag 2.67-2.69, 4 Zn 2.71-2.88
7 Zn 0.6921 0.6921 0.4632  4 Ag 2.66-2.76, 3 Zn 2.71-2.81
8 Zn 0.9815 0.9815 0.6388  3 Zn 2.55-2.83, 3 Ag 2.62-2.72
9 Ag 0.1845 0.1845 0.6641  6 Zn 2.66-2.76
10 Ag 0.4789 0.4789 0.8130  4 Zn 2.62-2.69, 1 Ag 2.74
11 Ag 0.5211 0.5211 0.1870  4 Zn 2.62-2.69, 1 Ag 2.74
12 Ag 0.8155 0.8155 0.3359  6 Zn 2.66-2.76

Values from the calculation:
SG: C2/m (12)
Total magnetization, Bohr magnetons per cell: 0.00

[4]
This record from Alexandria describes a relaxed ZrAuSe2 crystal. The functional is PBE.

Lattice parameters (Å, degrees): 7.8345 7.8345 7.8345 27.39 27.39 27.39
Last column: nearest neighbours and their distance in Å.
Fractional positions:
1 Zr 0.0000 0.0000 0.0000  6 Se 2.74
2 Au 0.5000 0.5000 0.5000  6 Se 2.97
3 Se 0.2580 0.2580 0.2580  3 Zr 2.74, 3 Au 2.97
4 Se 0.7420 0.7420 0.7420  3 Zr 2.74, 3 Au 2.97

Values from the calculation:
SG: R-3m (166)
Excess energy over the best structure of this formula in the dataset, meV per atom: 222
Total magnetization, Bohr magnetons per cell: 0.00
Energy relative to the elements, uncorrected, eV per formula unit: -2.352

Raw total energy? In order: -4.071 -4.937 -2.016 -5.287 eV per atom.